Density functional theory data (PBE-GGA) for crystalline Pm3Ga7Au4 at its relaxed geometry.

Computed properties:
The energy of formation from the pure elements is -0.64 eV per atom.

Cell: 16.3053 4.4417 9.7964 Å, 90.00 126.92 90.00°
Closest atoms and distances in Å follow each position.
Space group C2/m (No. 12)
Unique sites:
Pm 0.0000 0.0000 0.0000 x2  6 Au 3.20-3.26, 6 Ga 3.34-3.39
Pm 0.1860 0.5000 0.6829 x4  9 Ga 3.13-3.44, 4 Au 3.24-3.31
Ga 0.0000 0.0000 0.5000 x2  2 Au 2.87, 6 Ga 2.93-3.02
Ga 0.0058 0.5000 0.7138 x4  3 Au 2.60-2.81, 1 Ga 2.67
Ga 0.1491 0.0000 0.4258 x4  3 Au 2.63-2.73, 1 Ga 2.93
Ga 0.1707 0.5000 0.0412 x4  4 Au 2.58-2.69, 1 Ga 2.67
Au 0.1375 0.0000 0.8668 x4  6 Ga 2.65-2.87
Au 0.1532 0.5000 0.2857 x4  5 Ga 2.58-2.73


Density functional theory data (PBE-GGA) for crystalline Th2ZrAg at its relaxed geometry.

Computed properties:
The energy above the most stable polymorph in this dataset is 0.0 meV/atom. The energy of formation from the pure elements is 0.04 eV per atom.

Cell: 3.4286 3.4286 9.2994 Å, 90.00 90.00 90.00°
Closest atoms and distances in Å follow each position.
Space group P4/mmm (No. 123)
Unique sites:
Th 0.0000 0.0000 0.2423 x2  4 Ag 3.31, 4 Zr 3.41, 4 Th 3.43
Zr 0.5000 0.5000 0.5000 x1  8 Th 3.41, 4 Zr 3.43
Ag 0.5000 0.5000 0.0000 x1  8 Th 3.31, 4 Ag 3.43


Density functional theory data (PBE-GGA) for crystalline SiAsPbO6 at its relaxed geometry.

Computed properties:
Its uncorrected formation energy is -1619.2 meV per atom.

Cell: 4.9000 4.9000 5.0399 Å, 90.00 90.00 120.00°
Closest atoms and distances in Å follow each position.
Space group P312 (No. 149)
Unique sites:
Si 0.0000 0.0000 0.0000 x1  6 O 1.80
As 0.6667 0.3333 0.0000 x1  6 O 1.86
Pb 0.3333 0.6667 0.5000 x1  6 O 2.41
O 0.3250 0.0451 0.2008 x6  1 Si 1.80, 1 As 1.86


Density functional theory data (PBE-GGA) for crystalline BeNb2OsRh at its relaxed geometry.

Computed properties:
The energy of formation from the pure elements is 0.96 eV per atom.

Cell: 4.8106 4.8106 4.1345 Å, 90.00 90.00 90.00°
Closest atoms and distances in Å follow each position.
Space group P4/mmm (No. 123)
Unique sites:
Be 0.0000 0.0000 0.0000 x1  2 Os 2.07
Nb 0.0000 0.5000 0.5000 x2  2 Os 2.41
Os 0.0000 0.0000 0.5000 x1  2 Be 2.07
Rh 0.5000 0.5000 0.0000 x1  8 Nb 3.17, 4 Be 3.40


Density functional theory data (PBE-GGA) for crystalline Na3LiTi at its relaxed geometry.

Computed properties:
The energy of formation from the pure elements is 0.93 eV per atom.

Cell: 5.2901 5.2901 5.2901 Å, 90.00 90.00 90.00°
Closest atoms and distances in Å follow each position.
Space group Pm-3m (No. 221)
Unique sites:
Na 0.0000 0.0000 0.5000 x3  2 Li 2.65
Li 0.0000 0.0000 0.0000 x1  6 Na 2.65
Ti 0.5000 0.5000 0.5000 x1  12 Na 3.74


Density functional theory data (PBE-GGA) for crystalline Ba5AlZn4 at its relaxed geometry.

Computed properties:
The energy of formation from the pure elements is -0.14 eV per atom.

Cell: 4.1239 4.1239 20.5623 Å, 90.00 90.00 90.00°
Closest atoms and distances in Å follow each position.
Space group P4/mmm (No. 123)
Unique sites:
Ba 0.0000 0.0000 0.0000 x1  8 Zn 3.55
Ba 0.0000 0.0000 0.1994 x2  8 Zn 3.57-3.58
Ba 0.0000 0.0000 0.3994 x2  4 Zn 3.57, 4 Al 3.58
Al 0.5000 0.5000 0.5000 x1  8 Ba 3.58
Zn 0.5000 0.5000 0.0982 x2  8 Ba 3.55-3.58
Zn 0.5000 0.5000 0.2993 x2  8 Ba 3.57


Density functional theory data (PBE-GGA) for crystalline K3TeP at its relaxed geometry.

Computed properties:
Its uncorrected formation energy is -195.2 meV per atom. The energy above the most stable polymorph in this dataset is 0.0 meV/atom.

Cell: 6.0938 6.0938 6.0938 Å, 90.00 90.00 90.00°
Closest atoms and distances in Å follow each position.
Space group Pm-3m (No. 221)
Unique sites:
K 0.0000 0.0000 0.5000 x3  2 P 3.05
Te 0.5000 0.5000 0.5000 x1  12 K 4.31
P 0.0000 0.0000 0.0000 x1  6 K 3.05


Density functional theory data (PBE-GGA) for crystalline Ba4Ni2N at its relaxed geometry.

Computed properties:
Its uncorrected formation energy is 61.9 meV per atom.

Cell: 5.9325 5.9325 13.6817 Å, 90.00 90.00 90.00°
Closest atoms and distances in Å follow each position.
Space group I4/mmm (No. 139)
Unique sites:
Ba 0.0000 0.0000 0.1864 x4  1 N 2.55
Ba 0.0000 0.5000 0.0000 x4  2 N 2.97, 4 Ni 3.18
Ni 0.0000 0.0000 0.4167 x4  1 Ni 2.28
N 0.0000 0.0000 0.0000 x2  2 Ba 2.55


Density functional theory data (PBE-GGA) for crystalline FeCu2SnW at its relaxed geometry.

Computed properties:
The energy of formation from the pure elements is 1.65 eV per atom.

Cell: 4.6901 4.6901 5.1351 Å, 90.00 90.00 90.00°
Closest atoms and distances in Å follow each position.
Space group P4/mmm (No. 123)
Unique sites:
Fe 0.0000 0.0000 0.0000 x1  4 Sn 3.32, 8 Cu 3.48
Cu 0.0000 0.5000 0.5000 x2  2 W 2.35
Sn 0.5000 0.5000 0.0000 x1  2 W 2.57
W 0.5000 0.5000 0.5000 x1  4 Cu 2.35, 2 Sn 2.57


Density functional theory data (PBE-GGA) for crystalline Li2Zn5Ni2 at its relaxed geometry.

Computed properties:
The energy above the most stable polymorph in this dataset is 30.2 meV/atom. The energy of formation from the pure elements is -0.03 eV per atom.

Cell: 13.7118 6.3967 6.2153 Å, 90.00 90.00 90.00°
Closest atoms and distances in Å follow each position.
Space group Cmce (No. 64)
Unique sites:
Li 0.2136 0.0000 0.0000 x8  7 Zn 2.66-2.93
Zn 0.0000 0.0000 0.0000 x4  4 Ni 2.42-2.44
Zn 0.1211 0.1548 0.3409 x16  3 Ni 2.45-2.53, 3 Li 2.66-2.73
Ni 0.0000 0.1431 0.6401 x8  8 Zn 2.42-2.53, 1 Ni 2.53


Density functional theory data (PBE-GGA) for crystalline MgAg3F7 at its relaxed geometry.

Computed properties:
Its uncorrected formation energy is -1707.2 meV per atom.

Cell: 7.7896 7.6340 5.9669 Å, 90.00 117.06 90.00°
Closest atoms and distances in Å follow each position.
Space group Cm (No. 8)
Unique sites:
Mg 0.0000 0.0000 0.0000 x2  6 F 2.01-2.06
Ag 0.0049 0.2173 0.5031 x4  3 F 2.14-2.22
Ag 0.4953 0.0000 0.0102 x2  3 F 2.18-2.37
F 0.1318 0.1903 0.2529 x4  1 Mg 2.01, 1 Ag 2.14
F 0.1791 0.0000 0.8315 x2  1 Mg 2.06, 1 Ag 2.19
F 0.3047 0.5000 0.1330 x2  1 Mg 2.01, 1 Ag 2.18
F 0.3787 0.2961 0.7576 x4  1 Mg 2.04, 1 Ag 2.15
F 0.4926 0.0000 0.4067 x2  3 Ag 2.22-2.37


Density functional theory data (PBE-GGA) for crystalline Rb2PmPtO4 at its relaxed geometry.

Computed properties:
Its uncorrected formation energy is -1351.7 meV per atom.

Cell: 6.3186 14.5255 23.9777 Å, 90.00 90.00 90.00°
Closest atoms and distances in Å follow each position.
Space group Fddd (No. 70, origin choice 2)
Unique sites:
Rb 0.1250 0.1250 0.3163 x16  2 O 2.63
Pm 0.1250 0.1250 0.1250 x8  4 O 2.23
Pt 0.1250 0.1250 0.6250 x8  4 O 2.02
O 0.1020 0.2775 0.8746 x32  1 Pt 2.02, 1 Pm 2.23